DFT (GGA-PBE) results for an optimized crystal structure of ZrTi2Bi2.

V	27.0	Å³ per atom
space-group type	No. 74
ρ	7.4	g/cm³
total moment	0.18	μB per formula unit
ΔE to the lowest computed polymorph	0.055	eV per atom
ΔE_f	-42	meV per atom

Cell: 8.8140 8.8140 8.8140 Å, 147.39 132.42 58.88°
Atoms (fractional coordinates):
Zr 0.4398 0.1898 0.2500
Zr 0.5602 0.8102 0.7500
Ti 0.1275 0.6968 0.4307
Ti 0.2339 0.3032 0.9307
Ti 0.7661 0.6968 0.0693
Ti 0.8725 0.3032 0.5693
Bi 0.1264 0.8764 0.2500
Bi 0.3306 0.5806 0.7500
Bi 0.6694 0.4194 0.2500
Bi 0.8736 0.1236 0.7500

=====

DFT (GGA-PBE) results for an optimized crystal structure of Sm4AsSe4.

V	28.9	Å³ per atom
space-group type	No. 12
ρ	6.3	g/cm³
total moment	0.00	μB per formula unit
E_tot	-53.883	eV per cell

Cell: 7.2726 7.2726 10.3261 Å, 118.87 118.87 33.53°
Atoms (fractional coordinates):
Sm 0.0940 0.0940 0.3967
Sm 0.2962 0.2962 0.1980
Sm 0.7038 0.7038 0.8020
Sm 0.9060 0.9060 0.6033
As 0.5000 0.5000 0.5000
Se 0.1057 0.1057 0.8958
Se 0.3013 0.3013 0.6980
Se 0.6987 0.6987 0.3020
Se 0.8943 0.8943 0.1042

=====

DFT (GGA-PBE) results for an optimized crystal structure of Ga4Br2Cl5.

V	34.3	Å³ per atom
space-group type	No. 2
ρ	2.7	g/cm³
total moment	0.00	μB per formula unit
E_tot	-33.593	eV per cell

Cell: 5.1923 6.8435 11.4990 Å, 76.77 79.20 73.03°
Atoms (fractional coordinates):
Ga 0.0221 0.4068 0.3085
Ga 0.4492 0.4364 0.1625
Ga 0.5508 0.5636 0.8375
Ga 0.9779 0.5932 0.6915
Br 0.1860 0.8751 0.6702
Br 0.8140 0.1249 0.3298
Cl 0.0000 0.5000 0.5000
Cl 0.2538 0.7193 0.9881
Cl 0.3414 0.3321 0.7868
Cl 0.6586 0.6679 0.2132
Cl 0.7462 0.2807 0.0119

=====

DFT (GGA-PBE) results for an optimized crystal structure of La2Al4CdAu3.

V	21.5	Å³ per atom
space-group type	No. 115
ρ	8.4	g/cm³
total moment	0.00	μB per formula unit
ΔE_f	-675	meV per atom

Cell: 4.4690 4.4690 10.7762 Å, 90.00 90.00 90.00°
Atoms (fractional coordinates):
La 0.0000 0.5000 0.2467
La 0.5000 0.0000 0.7533
Al 0.0000 0.0000 0.0000
Al 0.0000 0.5000 0.6415
Al 0.5000 0.0000 0.3585
Al 0.5000 0.5000 0.0000
Cd 0.0000 0.0000 0.5000
Au 0.0000 0.5000 0.8758
Au 0.5000 0.0000 0.1242
Au 0.5000 0.5000 0.5000